[1]
A relaxed structure of CsBaHg3. Source: Alexandria via LeMat-Bulk, functional PBE-GGA.

Output
Uncorrected energy ... -0.637 eV per atom
Energy relative to the elements ... 0.099 eV per atom
N(E_F) ... 4.01 states/eV/f.u.
Symmetry ... Pm-3m
Excess energy over the best structure of this formula in the dataset ... 10.50 kcal/mol of atoms

abc: 6.4357 6.4357 6.4357
angles: 90.00 90.00 90.00
Closest atoms and distances in Å follow each position.
Element x y z (fractional)
Cs (0.0000, 0.0000, 0.0000)  6 Hg 3.22
Hg (0.5000, 0.0000, 0.0000)  2 Cs 3.22
Hg (0.0000, 0.5000, 0.0000)  2 Cs 3.22
Hg (0.0000, 0.0000, 0.5000)  2 Cs 3.22
Ba (0.5000, 0.5000, 0.5000)  12 Hg 4.55

---

[2]
A relaxed structure of CsBaHg10. Source: Alexandria via LeMat-Bulk, functional PBE-GGA.

Output
Uncorrected energy ... -0.694 eV per atom
Energy relative to the elements ... -0.211 eV per atom
N(E_F) ... 5.45 states/eV/f.u.
Symmetry ... Pmmm

abc: 5.4252 6.3495 11.0987
angles: 90.00 90.00 90.00
Closest atoms and distances in Å follow each position.
Element x y z (fractional)
Cs (0.0000, 0.5000, 0.5000)  6 Hg 3.71-3.76
Hg (0.5000, 0.7597, 0.2344)  8 Hg 3.05-3.32
Hg (0.0000, 0.0000, 0.6732)  8 Hg 3.28-3.67, 1 Ba 3.63
Hg (0.5000, 0.5000, 0.0000)  8 Hg 3.08-3.25
Hg (0.0000, 0.5000, 0.8387)  7 Hg 3.25-3.58
Ba (0.0000, 0.0000, 0.0000)  14 Hg 3.63-4.06
Hg (0.5000, 0.7597, 0.7656)  8 Hg 3.05-3.32
Hg (0.0000, 0.0000, 0.3268)  8 Hg 3.28-3.67, 1 Ba 3.63
Hg (0.0000, 0.5000, 0.1613)  7 Hg 3.25-3.58
Hg (0.5000, 0.0000, 0.5000)  8 Hg 3.32
Hg (0.5000, 0.2403, 0.7656)  8 Hg 3.05-3.32
Hg (0.5000, 0.2403, 0.2344)  8 Hg 3.05-3.32

---

[3]
A relaxed structure of CsBaHg6. Source: Alexandria via LeMat-Bulk, functional PBE-GGA.

Output
Uncorrected energy ... -0.876 eV per atom
Energy relative to the elements ... -0.302 eV per atom
N(E_F) ... 4.51 states/eV/f.u.
Symmetry ... Pmm2

abc: 5.4577 6.6750 7.5320
angles: 90.00 90.00 90.00
Closest atoms and distances in Å follow each position.
Element x y z (fractional)
Ba (0.5000, 0.3854, 0.5000)  12 Hg 3.55-3.94
Hg (0.0000, 0.7250, 0.5000)  6 Hg 3.31-3.36, 2 Ba 3.55
Hg (0.0000, 0.1521, 0.2648)  6 Hg 3.32-3.54, 2 Ba 3.61
Hg (0.0000, 0.1521, 0.7352)  6 Hg 3.32-3.54, 2 Ba 3.61
Hg (0.5000, 0.2109, 0.0000)  6 Hg 3.14-3.40
Cs (0.0000, 0.6335, 0.0000)  12 Hg 3.78-4.00
Hg (0.5000, 0.8706, 0.7131)  6 Hg 3.14-3.32
Hg (0.5000, 0.8706, 0.2869)  6 Hg 3.14-3.32